# 1
Below is an optimized crystal structure of Ca7Ac2, with properties calculated at the PBE-GGA level.

```
Ca7Ac2
1.0
6.8021 0.0000 0.0000
-3.4011 5.8908 0.0000
0.0000 0.0000 9.5879
Ca Ac
7 2
direct
0.0000 0.0000 0.0000 Ca
0.0000 0.3316 0.6653 Ca
0.0000 0.6684 0.3347 Ca
0.3316 0.0000 0.6653 Ca
0.3316 0.3316 0.3347 Ca
0.6684 0.0000 0.3347 Ca
0.6684 0.6684 0.6653 Ca
0.3333 0.6667 0.0000 Ac
0.6667 0.3333 0.0000 Ac
```

symmetry	No. 162
ΔH_f (0 K)	3.0	kJ per mole of atoms
total moment	0.002	μB per cell

# 2
Below is an optimized crystal structure of ErZn9In2, with properties calculated at the PBE-GGA level.

```
ErZn9In2
1.0
2.7058 1.5622 8.4101
-2.7058 1.5622 8.4101
0.0000 -3.1244 8.4101
Er Zn In
1 9 2
direct
0.0000 0.0000 0.0000 Er
0.0812 0.5835 0.5835 Zn
0.3323 0.3323 0.3323 Zn
0.4165 0.4165 0.9188 Zn
0.4165 0.9188 0.4165 Zn
0.5000 0.5000 0.5000 Zn
0.5835 0.0812 0.5835 Zn
0.5835 0.5835 0.0812 Zn
0.6677 0.6677 0.6677 Zn
0.9188 0.4165 0.4165 Zn
0.1378 0.1378 0.1378 In
0.8622 0.8622 0.8622 In
```

symmetry	No. 166
ΔH_f (0 K)	-8.8	kJ per mole of atoms
total moment	0.000	μB per cell

# 3
Below is an optimized crystal structure of Na2BiC, with properties calculated at the PBE-GGA level.

```
Na2BiC
1.0
-5.1617 5.1617 2.3685
5.1617 -5.1617 2.3685
5.1617 5.1617 -2.3685
Na Bi C
4 2 2
direct
0.3750 0.1199 0.2449 Na
0.8699 0.6250 0.7449 Na
0.8750 0.1301 0.7551 Na
0.8801 0.1250 0.2551 Na
0.2500 0.7500 0.5000 Bi
0.5000 0.5000 0.0000 Bi
0.0000 0.0000 0.0000 C
0.7500 0.2500 0.5000 C
```

symmetry	No. 122
ΔH_f (0 K)	79.8	kJ per mole of atoms
total moment	0.000	μB per cell

# 4
Below is an optimized crystal structure of TiNbPd3, with properties calculated at the PBE-GGA level.

```
TiNbPd3
1.0
2.6521 1.5312 7.0768
-2.6521 1.5312 7.0768
0.0000 -3.0624 7.0768
Ti Nb Pd
2 2 6
direct
0.1976 0.1976 0.1976 Ti
0.8024 0.8024 0.8024 Ti
0.3210 0.3210 0.3210 Nb
0.6790 0.6790 0.6790 Nb
0.2397 0.7360 0.7409 Pd
0.2591 0.7603 0.2640 Pd
0.2640 0.2591 0.7603 Pd
0.7360 0.7409 0.2397 Pd
0.7409 0.2397 0.7360 Pd
0.7603 0.2640 0.2591 Pd
```

symmetry	No. 148
ΔH_f (0 K)	-7.8	kJ per mole of atoms
total moment	0.000	μB per cell

# 5
Below is an optimized crystal structure of Li2NiIr2, with properties calculated at the PBE-GGA level.

```
Li2NiIr2
1.0
5.4582 0.0000 0.0000
0.0000 5.4582 0.0000
0.0000 0.0000 3.8744
Li Ni Ir
4 2 4
direct
0.1232 0.3768 0.0000 Li
0.3768 0.8768 0.0000 Li
0.6232 0.1232 0.0000 Li
0.8768 0.6232 0.0000 Li
0.0000 0.0000 0.0000 Ni
0.5000 0.5000 0.0000 Ni
0.1869 0.6869 0.5000 Ir
0.3131 0.1869 0.5000 Ir
0.6869 0.8131 0.5000 Ir
0.8131 0.3131 0.5000 Ir
```

symmetry	No. 127
ΔH_f (0 K)	14.4	kJ per mole of atoms
total moment	0.000	μB per cell

# 6
Below is an optimized crystal structure of LiSnB, with properties calculated at the PBE-GGA level.

```
LiSnB
1.0
1.9340 1.1166 8.0380
-1.9340 1.1166 8.0380
0.0000 -2.2332 8.0380
Li Sn B
2 2 2
direct
0.1234 0.1234 0.1234 Li
0.8766 0.8766 0.8766 Li
0.2807 0.2807 0.2807 Sn
0.7193 0.7193 0.7193 Sn
0.4063 0.4063 0.4063 B
0.5937 0.5937 0.5937 B
```

symmetry	No. 166
ΔH_f (0 K)	37.6	kJ per mole of atoms
total moment	0.000	μB per cell

| no. | uncorrected energy (eV per cell) |
| --- | --- |
| 1 | -21.9 |
| 2 | -22.6 |
| 3 | -24.9 |
| 4 | -67.9 |
| 5 | -53.2 |
| 6 | -22.9 |